No. 1
Density functional theory data (GGA+U) for a relaxed structure of FeB2F.

The structure in CIF format:
```
data_FeB2F
_space_group_name_H-M_alt 'F m -3 m'
_space_group_IT_number 225
_space_group_name_Hall '-F 4 2 3'
_cell_length_a 5.438
_cell_length_b 5.438
_cell_length_c 5.438
_cell_angle_alpha 90.00
_cell_angle_beta 90.00
_cell_angle_gamma 90.00
loop_
_atom_site_label
_atom_site_fract_x
_atom_site_fract_y
_atom_site_fract_z
Fe1 0.000 0.000 0.000
B1 0.250 0.250 0.250
F1 0.000 0.000 0.500
```

Computed properties:
- Distance to the lowest polymorph of the same formula: 200.7 meV per atom
- Energy: -3.87 eV per atom

No. 2
Density functional theory data (GGA+U) for a relaxed structure of FeB2F.

The structure in CIF format:
```
data_FeB2F
_space_group_name_H-M_alt 'I -4 2 d'
_space_group_IT_number 122
_space_group_name_Hall 'I -4 2bw'
_cell_length_a 4.960
_cell_length_b 4.960
_cell_length_c 6.976
_cell_angle_alpha 90.00
_cell_angle_beta 90.00
_cell_angle_gamma 90.00
loop_
_atom_site_label
_atom_site_fract_x
_atom_site_fract_y
_atom_site_fract_z
Fe1 0.000 0.000 0.000
B1 0.242 0.250 0.625
F1 0.000 0.000 0.500
```

Computed properties:
- Distance to the lowest polymorph of the same formula: 0.0 meV per atom
- Energy: -4.08 eV per atom

No. 3
Density functional theory data (GGA+U) for a relaxed structure of Fe3BF.

The structure in CIF format:
```
data_Fe3BF
_space_group_name_H-M_alt 'P m -3 m'
_space_group_IT_number 221
_space_group_name_Hall '-P 4 2 3'
_cell_length_a 4.212
_cell_length_b 4.212
_cell_length_c 4.212
_cell_angle_alpha 90.00
_cell_angle_beta 90.00
_cell_angle_gamma 90.00
loop_
_atom_site_label
_atom_site_fract_x
_atom_site_fract_y
_atom_site_fract_z
Fe1 0.000 0.000 0.500
B1 0.000 0.000 0.000
F1 0.500 0.500 0.500
```

Computed properties:
- Distance to the lowest polymorph of the same formula: 0.0 meV per atom
- Energy: -4.53 eV per atom

No. 4
Density functional theory data (GGA+U) for a relaxed structure of Fe2BF.

The structure in CIF format:
```
data_Fe2BF
_space_group_name_H-M_alt 'F m -3 m'
_space_group_IT_number 225
_space_group_name_Hall '-F 4 2 3'
_cell_length_a 5.554
_cell_length_b 5.554
_cell_length_c 5.554
_cell_angle_alpha 90.00
_cell_angle_beta 90.00
_cell_angle_gamma 90.00
loop_
_atom_site_label
_atom_site_fract_x
_atom_site_fract_y
_atom_site_fract_z
Fe1 0.250 0.250 0.250
B1 0.000 0.000 0.000
F1 0.000 0.000 0.500
```

Computed properties:
- Distance to the lowest polymorph of the same formula: 285.8 meV per atom
- Energy: -4.66 eV per atom

No. 5
Density functional theory data (GGA+U) for a relaxed structure of Fe2BF.

The structure in CIF format:
```
data_Fe2BF
_space_group_name_H-M_alt 'I -4 2 d'
_space_group_IT_number 122
_space_group_name_Hall 'I -4 2bw'
_cell_length_a 5.633
_cell_length_b 5.633
_cell_length_c 6.317
_cell_angle_alpha 90.00
_cell_angle_beta 90.00
_cell_angle_gamma 90.00
loop_
_atom_site_label
_atom_site_fract_x
_atom_site_fract_y
_atom_site_fract_z
Fe1 0.238 0.250 0.125
B1 0.000 0.000 0.000
F1 0.000 0.000 0.500
```

Computed properties:
- Distance to the lowest polymorph of the same formula: 0.0 meV per atom
- Energy: -4.95 eV per atom

No. 6
Density functional theory data (GGA+U) for a relaxed structure of FeB3F12.

The structure in CIF format:
```
data_FeB3F12
_space_group_name_H-M_alt 'P 63/m'
_space_group_IT_number 176
_space_group_name_Hall '-P 6c'
_cell_length_a 10.1088
_cell_length_b 10.1088
_cell_length_c 4.8948
_cell_angle_alpha 90.00
_cell_angle_beta 90.00
_cell_angle_gamma 120.00
loop_
_atom_site_label
_atom_site_fract_x
_atom_site_fract_y
_atom_site_fract_z
Fe1 0.3333 0.6667 0.2500
B1 0.1238 0.7129 0.7500
F1 0.0049 0.5669 0.7500
F2 0.0951 0.8285 0.7500
F3 0.2256 0.7319 0.5096
```

Computed properties:
- Energy: -5.65 eV per atom

No. 7
Density functional theory data (GGA+U) for a relaxed structure of FeB2MoF.

The structure in CIF format:
```
data_FeB2MoF
_space_group_name_H-M_alt 'P 4/m m m'
_space_group_IT_number 123
_space_group_name_Hall '-P 4 2'
_cell_length_a 4.035
_cell_length_b 4.035
_cell_length_c 3.704
_cell_angle_alpha 90.00
_cell_angle_beta 90.00
_cell_angle_gamma 90.00
loop_
_atom_site_label
_atom_site_fract_x
_atom_site_fract_y
_atom_site_fract_z
Fe1 0.000 0.000 0.000
B1 0.000 0.500 0.500
Mo1 0.500 0.500 0.000
F1 0.000 0.000 0.500
```

Computed properties:
- Energy: -4.36 eV per atom

No. 8
Density functional theory data (GGA+U) for a relaxed structure of FeBOF2.

The structure in CIF format:
```
data_FeBOF2
_space_group_name_H-M_alt 'P 4/m m m'
_space_group_IT_number 123
_space_group_name_Hall '-P 4 2'
_cell_length_a 4.001
_cell_length_b 4.001
_cell_length_c 3.853
_cell_angle_alpha 90.00
_cell_angle_beta 90.00
_cell_angle_gamma 90.00
loop_
_atom_site_label
_atom_site_fract_x
_atom_site_fract_y
_atom_site_fract_z
Fe1 0.000 0.000 0.000
B1 0.500 0.500 0.500
O1 0.000 0.000 0.500
F1 0.000 0.500 0.000
```

Computed properties:
- Distance to the lowest polymorph of the same formula: 677.9 meV per atom
- Energy: -4.82 eV per atom

Question: Which of these has the lowest energy?
Answer: FeB3F12

Question: Which value of energy does entry 8 give?
Answer: -4.82 eV per atom